Compound: Tl5Sn3Br12
Source: Alexandria
Functional: PBE
Structure: relaxed

CIF file:
```
data_Tl5Sn3Br12
_chemical_formula_sum 'Tl40 Sn24 Br96'
_cell_length_a 18.422
_cell_length_b 18.422
_cell_length_c 18.422
_cell_angle_alpha 90.00
_cell_angle_beta 90.00
_cell_angle_gamma 90.00
_space_group_name_H-M_alt 'I a -3 d'
_space_group_IT_number 230
_space_group_name_Hall '-I 4bd 2c 3'
loop_
_atom_site_label
_atom_site_type_symbol
_atom_site_fract_x
_atom_site_fract_y
_atom_site_fract_z
_atom_site_occupancy
Tl1 Tl 0.000 0.000 0.000 1
Tl2 Tl 0.000 0.250 0.375 1
Sn1 Sn 0.000 0.250 0.125 1
Br1 Br 0.021 0.086 0.650 1
```

For the formation energy (no corrections), the calculation gives -0.62 eV per atom. Its energy above the most stable polymorph in this dataset is 176.4 meV/atom. The spin magnetization comes out at 0.00 Bohr magnetons per cell.